The following is a PBE-GGA calculation of a relaxed Mo2P crystal, from OQMD.

abc: 7.3120 7.3120 7.3120
angles: 90.00 90.00 90.00
Last column: nearest neighbours and their distance in Å.
Space group Fd-3m (No. 227, origin choice 2)
Asymmetric unit:
Mo 0.0000 0.0000 0.0000 x16  6 Mo 2.59
P 0.1250 0.1250 0.6250 x8  12 Mo 3.03, 4 P 3.17

Output
E (eV/atom): -8.344
M_tot (μB/atom): 0.000
Energy relative to the lowest polymorph listed for this composition (eV/atom): 1.132

***

The following is a PBE-GGA calculation of a relaxed Cs2Ag crystal, from OQMD.

abc: 11.3407 11.3407 11.3407
angles: 90.00 90.00 90.00
Last column: nearest neighbours and their distance in Å.
Space group Fd-3m (No. 227, origin choice 2)
Asymmetric unit:
Cs 0.0000 0.0000 0.0000 x16  6 Cs 4.01
Ag 0.1250 0.1250 0.6250 x8  12 Cs 4.70, 4 Ag 4.91

Output
E (eV/atom): -1.098
Energy relative to the lowest polymorph listed for this composition (eV/atom): 0.350

***

Q: Look up the E of the first one.
A: -8.344 eV/atom

***

Q: Which formula does entry 1 have?
A: Mo2P

***

Q: Look up the E of the first one.
A: -8.344 eV/atom

***

Q: What is the energy relative to the lowest polymorph listed for this composition in the first record?
A: 1.132 eV/atom